# SrScI3

A relaxed SrScI3 crystal (PBE, Alexandria).

Values from the calculation:
The space-group type is Pm-3m (221). As for the excess energy over the best structure of this formula in the dataset: 0 meV/atom. Its density of states at the Fermi level is 5.39 states/eV/f.u. The value obtained for the mass density is 4425 kg/m3. The calculation puts the energy at -17.01 eV per formula unit. For the uncorrected formation energy, the calculation gives -0.87 eV/atom.

Cell: 5.775 5.775 5.775 Å, 90.00 90.00 90.00°
Positions (direct):
Sr (0.000, 0.000, 0.000)
Sc (0.500, 0.500, 0.500)
I (0.000, 0.500, 0.500)
I (0.500, 0.000, 0.500)
I (0.500, 0.500, 0.000)


# SrSc2I2

A relaxed SrSc2I2 crystal (PBE, Alexandria).

Values from the calculation:
The space-group type is P4/mbm (127). As for the excess energy over the best structure of this formula in the dataset: 177 meV/atom. Its density of states at the Fermi level is 4.25 states/eV/f.u. The value obtained for the mass density is 5121 kg/m3. The calculation puts the energy at -18.74 eV per formula unit. For the uncorrected formation energy, the calculation gives -0.26 eV/atom.

Cell: 8.669 8.669 3.722 Å, 90.00 90.00 90.00°
Positions (direct):
Sr (0.000, 0.000, 0.000)
Sr (0.500, 0.500, 0.000)
Sc (0.149, 0.351, 0.500)
Sc (0.351, 0.851, 0.500)
Sc (0.649, 0.149, 0.500)
Sc (0.851, 0.649, 0.500)
I (0.143, 0.643, 0.000)
I (0.357, 0.143, 0.000)
I (0.643, 0.857, 0.000)
I (0.857, 0.357, 0.000)


# Sr2Sc2I

A relaxed Sr2Sc2I crystal (PBE, Alexandria).

Values from the calculation:
The space-group type is P4/mbm (127). As for the excess energy over the best structure of this formula in the dataset: 359 meV/atom. Its density of states at the Fermi level is 6.66 states/eV/f.u. The value obtained for the mass density is 3209 kg/m3. The calculation puts the energy at -16.64 eV per formula unit. For the uncorrected formation energy, the calculation gives 0.19 eV/atom.

Cell: 9.874 9.874 4.162 Å, 90.00 90.00 90.00°
Positions (direct):
Sr (0.187, 0.313, 0.000)
Sr (0.313, 0.813, 0.000)
Sr (0.687, 0.187, 0.000)
Sr (0.813, 0.687, 0.000)
Sc (0.099, 0.599, 0.500)
Sc (0.401, 0.099, 0.500)
Sc (0.599, 0.901, 0.500)
Sc (0.901, 0.401, 0.500)
I (0.000, 0.000, 0.000)
I (0.500, 0.500, 0.000)


energy of number 1 (SrScI3)?
-17.01 eV per formula unit